First-principles (PBE-GGA) data for a relaxed Te2As crystal, as listed in Alexandria.

The structure in POSCAR format:
```
Te2As
1.0
4.1906 -7.2584 0.0000
4.1906 7.2584 0.0000
0.0000 0.0000 4.0643
Te As
6 3
Direct
0.5266 0.0000 0.5000 Te
0.0000 0.5266 0.5000 Te
0.7517 0.7517 0.0000 Te
0.0000 0.2483 0.0000 Te
0.4734 0.4734 0.5000 Te
0.2483 0.0000 0.0000 Te
0.0000 0.0000 0.5000 As
0.3333 0.6667 0.0000 As
0.6667 0.3333 0.0000 As
```

Summary:
- SG = P-62m
- final energy (eV/atom) = -3.34

***

First-principles (PBE-GGA) data for a relaxed Y9Tm4Mg11 crystal, as listed in Alexandria.

The structure in POSCAR format:
```
Y9Tm4Mg11
1.0
3.5961 0.0000 0.0000
0.0000 13.0753 -4.7999
0.0000 0.7246 13.9096
Mg Y Tm
11 9 4
Direct
0.0000 0.8217 0.1783 Mg
0.0000 0.9460 0.5879 Mg
0.0000 0.6321 0.3679 Mg
0.0000 0.0000 0.0000 Mg
0.0000 0.5879 0.9460 Mg
0.0000 0.3679 0.6321 Mg
0.0000 0.0540 0.4121 Mg
0.0000 0.4121 0.0540 Mg
0.0000 0.2167 0.2167 Mg
0.0000 0.7833 0.7833 Mg
0.0000 0.1783 0.8217 Mg
0.5000 0.2081 0.0215 Y
0.5000 0.5000 0.5000 Y
0.5000 0.7919 0.9785 Y
0.5000 0.9785 0.7919 Y
0.5000 0.8449 0.3782 Y
0.5000 0.0215 0.2081 Y
0.5000 0.1551 0.6218 Y
0.5000 0.3782 0.8449 Y
0.5000 0.6218 0.1551 Y
0.5000 0.5822 0.7500 Tm
0.5000 0.4178 0.2500 Tm
0.5000 0.2500 0.4178 Tm
0.5000 0.7500 0.5822 Tm
```

Summary:
- SG = Cmmm
- final energy (eV/atom) = -3.94

***

First-principles (PBE-GGA) data for a relaxed Rb2NaTi crystal, as listed in Alexandria.

The structure in POSCAR format:
```
Rb2NaTi
1.0
3.4379 -4.4714 3.4377
3.2318 1.8105 5.4688
-2.1555 -1.9848 5.9199
Ti Na Rb
1 1 2
Direct
0.5000 0.5000 0.5000 Ti
0.0000 0.0000 0.0000 Na
0.7500 0.7500 0.7500 Rb
0.2500 0.2500 0.2500 Rb
```

Summary:
- SG = Fm-3m
- final energy (eV/atom) = -1.88

***

First-principles (PBE-GGA) data for a relaxed DyTm3P4 crystal, as listed in Alexandria.

The structure in POSCAR format:
```
DyTm3P4
1.0
-1.7919 3.5167 -0.3645
-5.8897 -3.1622 -1.5543
-3.5376 -1.2060 5.7563
P Tm Dy
4 3 1
Direct
0.0000 0.7526 0.7475 P
0.4999 0.2489 0.7488 P
0.5000 0.7513 0.2512 P
0.0000 0.2477 0.2524 P
0.9999 0.0001 0.0000 Tm
0.5000 0.0001 0.5000 Tm
0.0000 0.5001 0.5000 Tm
0.5000 0.5001 0.9999 Dy
```

Summary:
- SG = Cmmm
- final energy (eV/atom) = -6.56

***

First-principles (PBE-GGA) data for a relaxed AcAl2GaS6 crystal, as listed in Alexandria.

The structure in POSCAR format:
```
AcAl2GaS6
1.0
-5.5480 -4.6483 1.8461
-3.6827 -3.1565 -7.1796
2.9552 -8.1420 0.2159
S Ac Al Ga
12 2 4 2
Direct
0.0446 0.6117 0.1224 S
0.4357 0.4347 0.2689 S
0.1626 0.9495 0.8269 S
0.3374 0.1731 0.0505 S
0.5446 0.1224 0.6117 S
0.8374 0.0505 0.1731 S
0.6626 0.8269 0.9495 S
0.0643 0.7311 0.5653 S
0.9554 0.3883 0.8776 S
0.5643 0.5653 0.7311 S
0.4554 0.8776 0.3883 S
0.9357 0.2689 0.4347 S
0.7500 0.1751 0.8249 Ac
0.2500 0.8249 0.1751 Ac
0.1742 0.3652 0.2439 Al
0.3258 0.7561 0.6348 Al
0.8258 0.6348 0.7561 Al
0.6742 0.2439 0.3652 Al
0.7500 0.8115 0.1885 Ga
0.2500 0.1885 0.8115 Ga
```

Summary:
- SG = C2/c
- final energy (eV/atom) = -5.12

***

First-principles (PBE-GGA) data for a relaxed Rb2CdHg6Pb crystal, as listed in Alexandria.

The structure in POSCAR format:
```
Rb2CdHg6Pb
1.0
-4.8070 1.0475 -6.4627
5.0817 -5.5514 -3.4561
-5.1527 -4.7529 -3.8067
Cd Hg Rb Pb
1 6 2 1
Direct
0.5000 0.5000 0.0000 Cd
0.7589 0.7610 0.5151 Hg
0.2411 0.2390 0.4849 Hg
0.2802 0.4104 0.8160 Hg
0.7560 0.2670 0.9968 Hg
0.2440 0.7330 0.0032 Hg
0.7198 0.5896 0.1840 Hg
0.2478 0.7881 0.4692 Rb
0.7522 0.2119 0.5308 Rb
0.0000 0.0000 0.0000 Pb
```

Summary:
- SG = P-1
- final energy (eV/atom) = -0.95

***

First-principles (PBE-GGA) data for a relaxed PmCuSiPt crystal, as listed in Alexandria.

The structure in POSCAR format:
```
PmCuSiPt
1.0
4.6299 0.0000 0.0000
2.3149 4.0096 0.0000
2.3149 1.3365 3.7803
Pt Si Cu Pm
1 1 1 1
Direct
0.0000 0.0000 0.0000 Pt
0.7500 0.7500 0.7500 Si
0.2500 0.2500 0.2500 Cu
0.5000 0.5000 0.5000 Pm
```

Summary:
- SG = F-43m
- final energy (eV/atom) = -5.54

***

First-principles (PBE-GGA) data for a relaxed GaHS3 crystal, as listed in Alexandria.

The structure in POSCAR format:
```
GaHS3
1.0
-1.8917 -1.8973 3.9193
-3.7680 -1.4285 -2.5101
2.1824 -4.1108 -0.9366
Ga S H
1 3 1
Direct
0.0000 0.0000 0.0000 Ga
0.0000 0.5000 0.0000 S
0.5000 0.0000 0.0000 S
0.0000 0.0000 0.5000 S
0.5000 0.5000 0.5000 H
```

Summary:
- SG = Pm-3m
- final energy (eV/atom) = -2.79

***

First-principles (PBE-GGA) data for a relaxed CeLuTlNi crystal, as listed in Alexandria.

The structure in POSCAR format:
```
CeLuTlNi
1.0
-4.3299 2.3170 1.4835
-1.6883 -0.5568 4.8121
0.1949 3.9557 3.2605
Tl Ni Ce Lu
1 1 1 1
Direct
0.7500 0.7500 0.7500 Tl
0.2500 0.2500 0.2500 Ni
0.5000 0.5000 0.5000 Ce
0.0000 0.0000 0.0000 Lu
```

Summary:
- SG = F-43m
- final energy (eV/atom) = -4.80

***

First-principles (PBE-GGA) data for a relaxed PrHoMg2Hg4 crystal, as listed in Alexandria.

The structure in POSCAR format:
```
PrHoMg2Hg4
1.0
5.1171 0.0000 0.0000
2.5586 4.4316 0.0000
2.5586 1.4772 8.4322
Hg Pr Ho Mg
4 1 1 2
Direct
0.3791 0.3791 0.8627 Hg
0.6209 0.6209 0.1373 Hg
0.1279 0.1279 0.6163 Hg
0.8721 0.8721 0.3837 Hg
0.0000 0.0000 0.0000 Pr
0.5000 0.5000 0.5000 Ho
0.2494 0.2494 0.2519 Mg
0.7506 0.7506 0.7481 Mg
```

Summary:
- SG = R-3m
- final energy (eV/atom) = -2.18

***

First-principles (PBE-GGA) data for a relaxed CuNiPdPt crystal, as listed in Alexandria.

The structure in POSCAR format:
```
CuNiPdPt
1.0
4.2545 0.0000 0.0000
2.1272 3.6845 0.0000
2.1272 1.2282 3.4738
Pt Pd Cu Ni
1 1 1 1
Direct
0.0000 0.0000 0.0000 Pt
0.5000 0.5000 0.5000 Pd
0.7500 0.7500 0.7500 Cu
0.2500 0.2500 0.2500 Ni
```

Summary:
- SG = F-43m
- final energy (eV/atom) = -5.32

***

First-principles (PBE-GGA) data for a relaxed Pr6Ni2HgBr3 crystal, as listed in Alexandria.

The structure in POSCAR format:
```
Pr6Ni2HgBr3
1.0
-1.4550 -3.7414 0.9646
-1.9567 -1.5349 -8.9050
9.8878 -1.2543 1.2139
Pr Br Ni Hg
6 3 2 1
Direct
0.9812 0.7376 0.9623 Pr
0.0188 0.2624 0.0377 Pr
0.3353 0.8736 0.6707 Pr
0.6647 0.1264 0.3293 Pr
0.3193 0.4418 0.6386 Pr
0.6807 0.5582 0.3614 Pr
0.5000 0.5000 0.0000 Br
0.8359 0.1647 0.6718 Br
0.1641 0.8353 0.3282 Br
0.8316 0.6597 0.6633 Ni
0.1684 0.3403 0.3367 Ni
0.5000 0.0000 0.0000 Hg
```

Summary:
- SG = C2/m
- final energy (eV/atom) = -4.57

***

First-principles (PBE-GGA) data for a relaxed YAl2Ir crystal, as listed in Alexandria.

The structure in POSCAR format:
```
YAl2Ir
1.0
-2.8967 -1.7818 3.1671
-0.8513 -3.6111 -2.7985
4.3729 1.0523 1.1690
Y Ir Al
1 1 2
Direct
0.2499 0.7499 0.5000 Y
0.4991 0.4991 0.0000 Ir
0.7504 0.2504 0.5000 Al
0.0006 0.0006 0.0000 Al
```

Summary:
- SG = Imm2
- final energy (eV/atom) = -6.19

***

First-principles (PBE-GGA) data for a relaxed Pr6Sm3Y2 crystal, as listed in Alexandria.

The structure in POSCAR format:
```
Pr6Sm3Y2
1.0
-1.1153 -1.3700 3.2161
-2.4954 -2.6889 0.0824
22.8283 -23.6913 -0.0823
Sm Pr Y
3 6 2
Direct
0.0000 0.0000 0.0000 Sm
0.2727 0.2727 0.1820 Sm
0.7273 0.7273 0.8180 Sm
0.1823 0.1823 0.4531 Pr
0.9089 0.9089 0.2732 Pr
0.8177 0.8177 0.5469 Pr
0.6363 0.6363 0.0911 Pr
0.3637 0.3637 0.9089 Pr
0.0911 0.0911 0.7268 Pr
0.5456 0.5456 0.3631 Y
0.4544 0.4544 0.6369 Y
```

Summary:
- SG = R-3m
- final energy (eV/atom) = -5.06

***

First-principles (PBE-GGA) data for a relaxed Sr2TlHg8 crystal, as listed in Alexandria.

The structure in POSCAR format:
```
Sr2TlHg8
1.0
-0.4518 4.2985 -2.9794
6.9302 -1.6348 -3.4094
-6.3238 -5.4972 -2.3474
Tl Sr Hg
1 2 8
Direct
0.5000 0.0000 0.0000 Tl
0.7847 0.3211 0.5693 Sr
0.2153 0.6789 0.4307 Sr
0.6530 0.8638 0.3059 Hg
0.8562 0.8466 0.7123 Hg
0.0145 0.7113 0.0291 Hg
0.9855 0.2887 0.9709 Hg
0.1438 0.1534 0.2877 Hg
0.3470 0.1362 0.6941 Hg
0.3971 0.5648 0.7942 Hg
0.6029 0.4352 0.2058 Hg
```

Summary:
- SG = C2/m
- final energy (eV/atom) = -1.02

***

First-principles (PBE-GGA) data for a relaxed CoRhAu2 crystal, as listed in Alexandria.

The structure in POSCAR format:
```
CoRhAu2
1.0
-8.4135 1.5777 -3.3167
-9.0842 1.1736 -0.6142
-8.2605 3.7159 -1.4944
Au Rh Co
2 1 1
Direct
0.5035 0.5035 0.5035 Au
0.9965 0.9965 0.9965 Au
0.7500 0.7500 0.7500 Rh
0.2500 0.2500 0.2500 Co
```

Summary:
- SG = R-3m
- final energy (eV/atom) = -4.99

***

First-principles (PBE-GGA) data for a relaxed Ac2UCuRh6 crystal, as listed in Alexandria.

The structure in POSCAR format:
```
Ac2UCuRh6
1.0
6.7872 -0.0004 0.0000
0.0004 6.7872 0.0000
3.3938 3.3934 4.7993
Ac Rh Cu U
2 6 1 1
Direct
0.2500 0.7500 0.5000 Ac
0.7500 0.2500 0.5000 Ac
0.7514 0.7514 0.4972 Rh
0.2486 0.2486 0.0000 Rh
0.2486 0.2486 0.5028 Rh
0.2486 0.7514 0.0000 Rh
0.7514 0.7514 0.0000 Rh
0.7514 0.2486 0.0000 Rh
0.0000 0.0000 0.0000 Cu
0.5000 0.5000 0.0000 U
```

Summary:
- SG = Fm-3m
- final energy (eV/atom) = -6.97

***

First-principles (PBE-GGA) data for a relaxed Er8BSe3S4 crystal, as listed in Alexandria.

The structure in POSCAR format:
```
Er8BSe3S4
1.0
-4.5386 -6.4638 0.2314
0.7399 -0.2407 7.7892
-2.6301 6.5489 -3.5555
S Er Se B
4 8 3 1
Direct
0.0000 0.0000 0.0000 S
0.5000 0.0000 0.0000 S
0.0000 0.0000 0.5000 S
0.5000 0.0000 0.5000 S
0.2316 0.7413 0.0097 Er
0.7781 0.7413 0.0097 Er
0.7684 0.2587 0.5368 Er
0.2431 0.2294 0.4862 Er
0.2316 0.7413 0.4632 Er
0.7684 0.2587 0.9903 Er
0.7569 0.7706 0.5138 Er
0.2219 0.2587 0.9903 Er
0.5000 0.5000 0.5000 Se
0.0000 0.5000 0.5000 Se
0.5000 0.5000 0.0000 Se
0.0000 0.5000 0.0000 B
```

Summary:
- SG = R-3m
- final energy (eV/atom) = -6.09

***

First-principles (PBE-GGA) data for a relaxed Tb3Pr6Dy2Sc crystal, as listed in Alexandria.

The structure in POSCAR format:
```
Tb3Pr6Dy2Sc
1.0
-1.6332 -4.9266 -3.5390
4.0880 -0.7348 4.7129
-9.6083 -0.4200 6.8749
Pr Dy Tb Sc
6 2 3 1
Direct
0.7513 0.7513 0.2472 Pr
0.0819 0.4122 0.2467 Pr
0.5878 0.9181 0.7533 Pr
0.9181 0.5878 0.7533 Pr
0.2487 0.2487 0.7528 Pr
0.4122 0.0819 0.2467 Pr
0.6666 0.3334 0.0000 Dy
0.3334 0.6666 0.0000 Dy
0.1666 0.8334 0.5000 Tb
0.5000 0.5000 0.5000 Tb
0.8334 0.1666 0.5000 Tb
0.0000 0.0000 0.0000 Sc
```

Summary:
- SG = C2/m
- final energy (eV/atom) = -4.82

***

First-principles (PBE-GGA) data for a relaxed Pm12PrDy2 crystal, as listed in Alexandria.

The structure in POSCAR format:
```
Pm12PrDy2
1.0
6.5239 -0.0216 0.0000
-0.0216 6.5239 0.0000
0.0000 0.0000 25.5553
Pm Dy Pr
24 4 2
Direct
0.3177 0.8177 0.1178 Pm
0.5000 0.5000 0.7830 Pm
0.3321 0.1679 0.5617 Pm
0.0000 0.0000 0.6616 Pm
0.5000 0.5000 0.2170 Pm
0.8321 0.6679 0.4383 Pm
0.5000 0.5000 0.6616 Pm
0.6823 0.1823 0.1178 Pm
0.8165 0.6835 0.1153 Pm
0.5000 0.5000 0.3384 Pm
0.0000 0.0000 0.3384 Pm
0.1678 0.6678 0.5621 Pm
0.8322 0.3322 0.5621 Pm
0.3165 0.1835 0.8847 Pm
0.3322 0.8322 0.4379 Pm
0.0000 0.0000 0.2170 Pm
0.1835 0.3165 0.1153 Pm
0.0000 0.0000 0.7830 Pm
0.6835 0.8165 0.8847 Pm
0.6678 0.1678 0.4379 Pm
0.8177 0.3177 0.8822 Pm
0.1823 0.6823 0.8822 Pm
0.6679 0.8321 0.5617 Pm
0.1679 0.3321 0.4383 Pm
0.5000 0.0000 0.2738 Dy
0.0000 0.5000 0.7262 Dy
0.0000 0.5000 0.2740 Dy
0.5000 0.0000 0.7260 Dy
0.5000 0.0000 0.0008 Pr
0.0000 0.5000 0.9992 Pr
```

Summary:
- SG = Cmme
- final energy (eV/atom) = -4.43